[1]
First-principles (GGA-PBE) data for a relaxed structure of La4Pd2Au3, as listed in Alexandria via LeMat-Bulk.

The density of states at the Fermi level comes out at 11.28 states/eV per cell. Its final energy is -5.174 eV/atom. For the volume, the calculation gives 27.0 Å³ per atom. Its magnetic moment is 0.00 μB per formula unit.

The structure belongs to space group C2/m (No. 12); the cell edges are 10.785, 4.161 and 10.849 Å and the angles 90.00°, 94.32° and 90.00°. The asymmetric unit holds La at (0.104, 0.000, 0.357), La at (0.160, 0.500, 0.874), Pd at (0.133, 0.500, 0.152), Au at (0.000, 0.000, 0.000) and Au at (0.110, 0.500, 0.585).

***

[2]
First-principles (GGA-PBE) data for a relaxed structure of La12PdAu6, as listed in Alexandria via LeMat-Bulk.

The density of states at the Fermi level comes out at 78.60 states/eV per cell. Its final energy is -4.890 eV/atom. For the volume, the calculation gives 34.3 Å³ per atom. Its magnetic moment is 0.00 μB per formula unit.

The structure belongs to space group R-3 (No. 148, hexagonal axes); the cell edges are 13.3112, 13.3112 and 12.7432 Å and the angles 90.00°, 90.00° and 120.00°. The asymmetric unit holds La at (0.0282, 0.2085, 0.3951), La at (0.0469, 0.2060, 0.8836), Pd at (0.0000, 0.0000, 0.0000) and Au at (0.0469, 0.2711, 0.6478).

***

[3]
First-principles (GGA-PBE) data for a relaxed structure of LaPd3Au, as listed in Alexandria via LeMat-Bulk.

The density of states at the Fermi level comes out at 6.55 states/eV per cell. Its final energy is -5.370 eV/atom. For the volume, the calculation gives 19.9 Å³ per atom. Its magnetic moment is 0.00 μB per formula unit.

The structure belongs to space group Cmcm (No. 63); the cell edges are 4.636, 14.923 and 5.740 Å and the angles 90.00°, 90.00° and 90.00°. The asymmetric unit holds La at (0.000, 0.108, 0.250), Pd at (0.000, 0.142, 0.750), Pd at (0.000, 0.303, 0.005) and Au at (0.000, 0.464, 0.250).

***

[4]
First-principles (GGA-PBE) data for a relaxed structure of LaPd6Au2, as listed in Alexandria via LeMat-Bulk.

The density of states at the Fermi level comes out at 8.14 states/eV per cell. Its final energy is -4.940 eV/atom. For the volume, the calculation gives 21.0 Å³ per atom. Its magnetic moment is 0.00 μB per formula unit.

The structure belongs to space group P6/mmm (No. 191); the cell edges are 5.4895, 5.4895 and 7.2444 Å and the angles 90.00°, 90.00° and 120.00°. The asymmetric unit holds La at (0.0000, 0.0000, 0.0000), Pd at (0.0000, 0.5000, 0.1872) and Au at (0.3333, 0.6667, 0.5000).

***

| no. | energy of formation (meV/atom) |
| --- | --- |
| 1 | -737 |
| 2 | -469 |
| 3 | -613 |
| 4 | -202 |